No. 1
Material: BeOsSe3
Method: DFT, PBE
State: relaxed

POSCAR file:
```
BeOsSe3
1.0
4.4048 0.0000 0.0000
0.0000 4.4048 0.0000
0.0000 0.0000 4.4048
Be Os Se
1 1 3
Direct
0.0000 0.0000 0.0000 Be
0.5000 0.5000 0.5000 Os
0.0000 0.5000 0.0000 Se
0.0000 0.0000 0.5000 Se
0.5000 0.0000 0.0000 Se
```

Summary:
distance to the lowest polymorph of the same formula: 0.000 eV/atom
volume: 85.5 Å³ per cell
energy relative to the elements, uncorrected: 0.989 eV/atom
symmetry: Pm-3m (221)
total magnetic moment: 0.00 Bohr magnetons per cell
DFT total energy: -4.09 eV per atom



No. 2
Material: BeOsSe2
Method: DFT, PBE
State: relaxed

POSCAR file:
```
BeOsSe2
1.0
-3.3080 -3.5209 3.9867
0.6209 -5.9697 1.7918
2.1148 5.8527 -0.7118
Be Os Se
1 1 2
Direct
0.5887 0.5887 0.0000 Be
0.7629 0.2629 0.5000 Os
0.9423 0.9423 0.0000 Se
0.2062 0.7062 0.5000 Se
```

Summary:
volume: 70.6 Å³ per cell
energy relative to the elements, uncorrected: 0.491 eV/atom
symmetry: Imm2 (44)
total magnetic moment: 0.00 Bohr magnetons per cell
DFT total energy: -4.99 eV per atom



No. 3
Material: BeOs2Se
Method: DFT, PBE
State: relaxed

POSCAR file:
```
BeOs2Se
1.0
3.9876 0.0000 0.0000
0.0000 3.9876 0.0000
1.9938 1.9938 7.7377
Be Os Se
2 4 2
Direct
0.5000 0.5000 0.0000 Be
0.2500 0.7500 0.5000 Be
0.5747 0.1250 0.2500 Os
0.1753 0.6250 0.2500 Os
0.3750 0.4253 0.7500 Os
0.8750 0.8247 0.7500 Os
0.0000 0.0000 0.0000 Se
0.7500 0.2500 0.5000 Se
```

Summary:
distance to the lowest polymorph of the same formula: 0.312 eV/atom
volume: 123.0 Å³ per cell
energy relative to the elements, uncorrected: 0.623 eV/atom
symmetry: I-42d (122)
total magnetic moment: 0.00 Bohr magnetons per cell
DFT total energy: -6.79 eV per atom



No. 4
Material: BeOsSe2
Method: DFT, PBE
State: relaxed

POSCAR file:
```
BeOsSe2
1.0
3.0586 0.0000 0.0000
0.0000 3.0586 0.0000
0.0000 0.0000 7.4472
Be Os Se
1 1 2
Direct
0.0000 0.0000 0.5191 Be
0.5000 0.5000 0.7076 Os
0.0000 0.0000 0.9044 Se
0.5000 0.5000 0.3689 Se
```

Summary:
volume: 69.7 Å³ per cell
energy relative to the elements, uncorrected: 0.127 eV/atom
symmetry: P4mm (99)
total magnetic moment: 0.00 Bohr magnetons per cell
DFT total energy: -5.35 eV per atom



No. 5
Material: BeOs2Se
Method: DFT, PBE
State: relaxed

POSCAR file:
```
BeOs2Se
1.0
4.3229 0.0000 0.0000
2.1614 3.7437 0.0000
2.1614 1.2479 3.5296
Be Os Se
1 2 1
Direct
0.5000 0.5000 0.5000 Be
0.0000 0.0000 0.0000 Os
0.2500 0.2500 0.2500 Os
0.7500 0.7500 0.7500 Se
```

Summary:
distance to the lowest polymorph of the same formula: 0.535 eV/atom
volume: 57.1 Å³ per cell
energy relative to the elements, uncorrected: 0.846 eV/atom
symmetry: F-43m (216)
total magnetic moment: 0.01 Bohr magnetons per cell
DFT total energy: -6.57 eV per atom



No. 6
Material: BeOs2Se
Method: DFT, PBE
State: relaxed

POSCAR file:
```
BeOs2Se
1.0
-1.5704 0.3143 -2.2693
0.9175 -2.5420 0.6409
-6.9901 -1.3505 4.6502
Be Os Se
1 2 1
Direct
0.5000 0.5000 0.7652 Be
0.0000 0.0000 0.9781 Os
0.5000 0.5000 0.2424 Os
0.0000 0.0000 0.5142 Se
```

Summary:
distance to the lowest polymorph of the same formula: 0.379 eV/atom
volume: 57.6 Å³ per cell
energy relative to the elements, uncorrected: 0.690 eV/atom
symmetry: Cmm2 (35)
total magnetic moment: 0.00 Bohr magnetons per cell
DFT total energy: -6.73 eV per atom



No. 7
Material: BeOs2Se
Method: DFT, PBE
State: relaxed

POSCAR file:
```
BeOs2Se
1.0
4.6167 0.0022 0.0000
1.3515 4.4144 0.0000
-2.9841 -2.2083 2.7445
Be Os Se
1 2 1
Direct
0.7500 0.2500 0.5000 Be
0.0000 0.0000 0.0000 Os
0.2500 0.7500 0.5000 Os
0.5000 0.5000 0.0000 Se
```

Summary:
distance to the lowest polymorph of the same formula: 0.404 eV/atom
volume: 55.9 Å³ per cell
energy relative to the elements, uncorrected: 0.715 eV/atom
symmetry: I-4m2 (119)
total magnetic moment: 0.00 Bohr magnetons per cell
DFT total energy: -6.70 eV per atom



No. 8
Material: BeOsSe2
Method: DFT, PBE
State: relaxed

POSCAR file:
```
BeOsSe2
1.0
3.3194 -0.0288 0.0000
-1.8445 2.7599 0.0000
0.0000 0.0000 7.2983
Be Os Se
1 1 2
Direct
0.5000 0.5000 0.2500 Be
0.5000 0.5000 0.7500 Os
0.0000 0.0000 0.0235 Se
0.0000 0.0000 0.4765 Se
```

Summary:
volume: 66.5 Å³ per cell
energy relative to the elements, uncorrected: 0.708 eV/atom
symmetry: Cmmm (65)
total magnetic moment: 0.00 Bohr magnetons per cell
DFT total energy: -4.77 eV per atom



No. 9
Material: BeOs2Se
Method: DFT, PBE
State: relaxed

POSCAR file:
```
BeOs2Se
1.0
-2.0684 -7.0670 -3.1084
0.5434 -7.6861 -2.1241
-1.7100 -7.7990 -0.3681
Be Os Se
1 2 1
Direct
0.7484 0.7484 0.7484 Be
0.0064 0.0064 0.0064 Os
0.2493 0.2493 0.2493 Os
0.4959 0.4959 0.4959 Se
```

Summary:
distance to the lowest polymorph of the same formula: 0.063 eV/atom
volume: 55.4 Å³ per cell
energy relative to the elements, uncorrected: 0.374 eV/atom
symmetry: R3m (160)
total magnetic moment: 0.00 Bohr magnetons per cell
DFT total energy: -7.04 eV per atom



No. 10
Material: BeOs2Se
Method: DFT, PBE
State: relaxed

POSCAR file:
```
BeOs2Se
1.0
7.7053 -0.0093 -0.0055
7.1656 2.8332 -0.0055
7.1656 1.3607 2.4850
Be Os Se
1 2 1
Direct
0.7500 0.7500 0.7500 Be
0.0064 0.0064 0.0064 Os
0.4936 0.4936 0.4936 Os
0.2500 0.2500 0.2500 Se
```

Summary:
distance to the lowest polymorph of the same formula: 0.207 eV/atom
volume: 54.5 Å³ per cell
energy relative to the elements, uncorrected: 0.518 eV/atom
symmetry: R-3m (166)
total magnetic moment: 0.00 Bohr magnetons per cell
DFT total energy: -6.90 eV per atom



No. 11
Material: BeOsSe2
Method: DFT, PBE
State: relaxed

POSCAR file:
```
BeOsSe2
1.0
-0.2823 -4.3889 -0.5300
1.4758 1.2146 4.0799
-2.7869 -1.0822 3.2694
Be Os Se
1 1 2
Direct
0.0000 0.5000 0.5000 Be
0.5000 0.5000 0.0000 Os
0.0000 0.0000 0.0000 Se
0.5000 0.0000 0.5000 Se
```

Summary:
volume: 67.8 Å³ per cell
energy relative to the elements, uncorrected: 0.667 eV/atom
symmetry: Fmmm (69)
total magnetic moment: 0.00 Bohr magnetons per cell
DFT total energy: -4.81 eV per atom



No. 12
Material: BeOs2Se
Method: DFT, PBE
State: relaxed

POSCAR file:
```
BeOs2Se
1.0
4.2748 0.0048 0.0128
3.3086 2.7069 0.0128
1.0356 0.3703 4.7296
Be Os Se
1 2 1
Direct
0.2500 0.2500 0.2500 Be
0.9862 0.9862 0.0230 Os
0.5138 0.5138 0.4770 Os
0.7500 0.7500 0.7500 Se
```

Summary:
distance to the lowest polymorph of the same formula: 0.112 eV/atom
volume: 54.6 Å³ per cell
energy relative to the elements, uncorrected: 0.422 eV/atom
symmetry: C2/m (12)
total magnetic moment: 0.00 Bohr magnetons per cell
DFT total energy: -7.00 eV per atom



No. 13
Material: BeSi2Os
Method: DFT, PBE
State: relaxed

POSCAR file:
```
BeSi2Os
1.0
-4.2260 -0.1976 0.6826
-2.9759 -2.6741 1.5353
0.0536 1.4133 4.0264
Be Si Os
1 2 1
Direct
0.2500 0.2500 0.2500 Be
0.0091 0.0091 0.0029 Si
0.4909 0.4909 0.4971 Si
0.7500 0.7500 0.7500 Os
```

Summary:
volume: 49.5 Å³ per cell
energy relative to the elements, uncorrected: -0.067 eV/atom
symmetry: C2/m (12)
total magnetic moment: 0.00 Bohr magnetons per cell
DFT total energy: -6.52 eV per atom



No. 14
Material: Be2SiOs
Method: DFT, PBE
State: relaxed

POSCAR file:
```
Be2SiOs
1.0
7.6788 0.0305 0.0180
7.1951 2.6823 0.0180
7.1951 1.3123 2.3394
Be Si Os
2 1 1
Direct
0.9982 0.9982 0.9982 Be
0.5018 0.5018 0.5018 Be
0.7500 0.7500 0.7500 Si
0.2500 0.2500 0.2500 Os
```

Summary:
volume: 47.3 Å³ per cell
energy relative to the elements, uncorrected: 0.217 eV/atom
symmetry: R-3m (166)
total magnetic moment: 0.00 Bohr magnetons per cell
DFT total energy: -5.81 eV per atom



No. 15
Material: BeSi2Os
Method: DFT, PBE
State: relaxed

POSCAR file:
```
BeSi2Os
1.0
-1.8540 -3.6556 -1.6761
-0.3205 -4.3669 0.6617
-3.4472 0.2031 2.3231
Be Si Os
1 2 1
Direct
0.4919 0.4919 0.4963 Be
0.0127 0.0127 0.9764 Si
0.2465 0.2465 0.2712 Si
0.7488 0.7488 0.7561 Os
```

Summary:
volume: 50.0 Å³ per cell
energy relative to the elements, uncorrected: -0.025 eV/atom
symmetry: Cm (8)
total magnetic moment: 0.00 Bohr magnetons per cell
DFT total energy: -6.48 eV per atom



No. 16
Material: BeSi2Os
Method: DFT, PBE
State: relaxed

POSCAR file:
```
BeSi2Os
1.0
7.6042 0.0094 0.0056
7.0711 2.7972 0.0056
7.0711 1.3523 2.4486
Be Si Os
1 2 1
Direct
0.2500 0.2500 0.2500 Be
0.9982 0.9982 0.9982 Si
0.5018 0.5018 0.5018 Si
0.7500 0.7500 0.7500 Os
```

Summary:
volume: 51.8 Å³ per cell
energy relative to the elements, uncorrected: 0.086 eV/atom
symmetry: R-3m (166)
total magnetic moment: 0.00 Bohr magnetons per cell
DFT total energy: -6.36 eV per atom



No. 17
Material: BeSi2Os
Method: DFT, PBE
State: relaxed

POSCAR file:
```
BeSi2Os
1.0
2.8253 -0.0165 0.0000
-1.4207 2.4421 0.0000
0.0000 0.0000 7.7695
Be Si Os
1 2 1
Direct
0.5000 0.5000 0.2500 Be
0.0000 0.0000 0.0099 Si
0.0000 0.0000 0.4901 Si
0.5000 0.5000 0.7500 Os
```

Summary:
volume: 53.4 Å³ per cell
energy relative to the elements, uncorrected: 0.363 eV/atom
symmetry: Cmmm (65)
total magnetic moment: 0.00 Bohr magnetons per cell
DFT total energy: -6.09 eV per atom



No. 18
Material: BeSiOs4
Method: DFT, PBE
State: relaxed

POSCAR file:
```
BeSiOs4
1.0
0.0000 3.6137 3.6137
3.6137 0.0000 3.6137
3.6137 3.6137 0.0000
Be Si Os
1 1 4
Direct
0.0000 0.0000 0.0000 Be
0.7500 0.7500 0.7500 Si
0.8751 0.3750 0.3750 Os
0.3750 0.3750 0.8751 Os
0.3750 0.8751 0.3750 Os
0.3750 0.3750 0.3750 Os
```

Summary:
volume: 94.4 Å³ per cell
energy relative to the elements, uncorrected: 1.018 eV/atom
symmetry: F-43m (216)
total magnetic moment: 0.00 Bohr magnetons per cell
DFT total energy: -7.99 eV per atom



No. 19
Material: Be2SiOs
Method: DFT, PBE
State: relaxed

POSCAR file:
```
Be2SiOs
1.0
-1.0492 2.2044 1.1034
0.9016 -1.8927 1.6681
6.8444 3.2587 -0.0021
Be Si Os
2 1 1
Direct
0.0000 0.0000 0.0063 Be
0.5000 0.5000 0.2412 Be
0.5000 0.5000 0.7595 Si
0.0000 0.0000 0.4931 Os
```

Summary:
volume: 48.4 Å³ per cell
energy relative to the elements, uncorrected: 0.401 eV/atom
symmetry: Cmm2 (35)
total magnetic moment: 0.00 Bohr magnetons per cell
DFT total energy: -5.63 eV per atom



No. 20
Material: Be2SiOs
Method: DFT, PBE
State: relaxed

POSCAR file:
```
Be2SiOs
1.0
4.4009 0.0001 0.0000
1.6616 4.0752 0.0000
-3.0313 -2.0376 2.4551
Be Si Os
2 1 1
Direct
0.0000 0.0000 0.0000 Be
0.5000 0.5000 0.0000 Be
0.7500 0.2500 0.5000 Si
0.2500 0.7500 0.5000 Os
```

Summary:
volume: 44.0 Å³ per cell
energy relative to the elements, uncorrected: -0.164 eV/atom
symmetry: I4/mmm (139)
total magnetic moment: 0.00 Bohr magnetons per cell
DFT total energy: -6.19 eV per atom



No. 21
Material: Be2SiOs
Method: DFT, PBE
State: relaxed

POSCAR file:
```
Be2SiOs
1.0
-0.7086 0.4428 -3.8845
-2.5067 -2.4619 -1.8555
-3.5360 1.3254 -1.2360
Be Si Os
2 1 1
Direct
0.0000 0.0000 0.0000 Be
0.2500 0.2500 0.2500 Be
0.7500 0.7500 0.7500 Si
0.5000 0.5000 0.5000 Os
```

Summary:
volume: 44.4 Å³ per cell
energy relative to the elements, uncorrected: 0.001 eV/atom
symmetry: F-43m (216)
total magnetic moment: 0.00 Bohr magnetons per cell
DFT total energy: -6.03 eV per atom



No. 22
Material: Be2SiOs
Method: DFT, PBE
State: relaxed

POSCAR file:
```
Be2SiOs
1.0
4.4184 -0.0009 0.0048
1.7397 4.0615 -0.0048
-2.8144 -2.4317 2.3851
Be Si Os
2 1 1
Direct
0.0120 0.0120 0.0000 Be
0.2373 0.7373 0.5000 Be
0.7574 0.2574 0.5000 Si
0.4933 0.4933 0.0000 Os
```

Summary:
volume: 42.8 Å³ per cell
energy relative to the elements, uncorrected: -0.222 eV/atom
symmetry: Imm2 (44)
total magnetic moment: 0.00 Bohr magnetons per cell
DFT total energy: -6.25 eV per atom



No. 23
Material: Be2SiOs
Method: DFT, PBE
State: relaxed

POSCAR file:
```
Be2SiOs
1.0
-6.6904 -2.8886 -2.0234
-5.0187 -4.9040 -2.8219
-5.8614 -4.7745 -0.2206
Be Si Os
2 1 1
Direct
0.9976 0.9976 0.9976 Be
0.2523 0.2523 0.2523 Be
0.7485 0.7485 0.7485 Si
0.5016 0.5016 0.5016 Os
```

Summary:
volume: 48.0 Å³ per cell
energy relative to the elements, uncorrected: 0.219 eV/atom
symmetry: R3m (160)
total magnetic moment: 0.00 Bohr magnetons per cell
DFT total energy: -5.81 eV per atom



No. 24
Material: BeSi2Os
Method: DFT, PBE
State: relaxed

POSCAR file:
```
BeSi2Os
1.0
3.1090 0.0000 0.0000
0.0000 3.1093 0.0000
0.0000 0.0000 4.9866
Be Si Os
1 2 1
Direct
0.0000 0.0000 0.4810 Be
0.0000 0.0000 0.0045 Si
0.5000 0.5000 0.2630 Si
0.5000 0.5000 0.7514 Os
```

Summary:
volume: 48.2 Å³ per cell
energy relative to the elements, uncorrected: -0.046 eV/atom
symmetry: P4mm (99)
total magnetic moment: 0.00 Bohr magnetons per cell
DFT total energy: -6.50 eV per atom



No. 25
Material: BeSi3Os
Method: DFT, PBE
State: relaxed

POSCAR file:
```
BeSi3Os
1.0
-1.5582 0.7649 3.7444
-3.7165 -1.2458 -1.2921
0.8908 -3.8596 1.1592
Be Si Os
1 3 1
Direct
0.0000 0.0000 0.0000 Be
0.0000 0.5000 0.0000 Si
0.0000 0.0000 0.5000 Si
0.5000 0.0000 0.0000 Si
0.5000 0.5000 0.5000 Os
```

Summary:
distance to the lowest polymorph of the same formula: 0.151 eV/atom
volume: 70.3 Å³ per cell
energy relative to the elements, uncorrected: 1.058 eV/atom
symmetry: Pm-3m (221)
total magnetic moment: 0.00 Bohr magnetons per cell
DFT total energy: -5.19 eV per atom



No. 26
Material: Be3SiOs
Method: DFT, PBE
State: relaxed

POSCAR file:
```
Be3SiOs
1.0
-3.8356 0.7994 0.7845
-0.3373 -3.4933 1.9104
1.0680 1.7676 3.4207
Be Si Os
3 1 1
Direct
0.0000 0.5000 0.0000 Be
0.0000 0.0000 0.5000 Be
0.5000 0.0000 0.0000 Be
0.0000 0.0000 0.0000 Si
0.5000 0.5000 0.5000 Os
```

Summary:
distance to the lowest polymorph of the same formula: 0.409 eV/atom
volume: 63.8 Å³ per cell
energy relative to the elements, uncorrected: 1.276 eV/atom
symmetry: Pm-3m (221)
total magnetic moment: 0.76 Bohr magnetons per cell
DFT total energy: -4.29 eV per atom



No. 27
Material: BeSi2Os
Method: DFT, PBE
State: relaxed

POSCAR file:
```
BeSi2Os
1.0
-4.5010 2.3456 2.3151
1.2906 -2.3513 4.8915
0.9709 3.8049 4.7539
Be Si Os
2 4 2
Direct
0.5000 0.5000 0.0000 Be
0.2500 0.7500 0.5000 Be
0.6207 0.1250 0.2500 Si
0.1293 0.6250 0.2500 Si
0.3750 0.3793 0.7500 Si
0.8750 0.8707 0.7500 Si
0.0000 0.0000 0.0000 Os
0.7500 0.2500 0.5000 Os
```

Summary:
volume: 147.5 Å³ per cell
energy relative to the elements, uncorrected: 0.707 eV/atom
symmetry: I-42d (122)
total magnetic moment: 0.00 Bohr magnetons per cell
DFT total energy: -5.74 eV per atom



No. 28
Material: BeSi2Os
Method: DFT, PBE
State: relaxed

POSCAR file:
```
BeSi2Os
1.0
-0.7304 0.6185 -3.9873
-0.2187 -3.1928 -2.5638
-3.6080 -1.0881 -1.6164
Be Si Os
1 2 1
Direct
0.5000 0.5000 0.5000 Be
0.0000 0.0000 0.0000 Si
0.2500 0.2500 0.2500 Si
0.7500 0.7500 0.7500 Os
```

Summary:
volume: 48.8 Å³ per cell
energy relative to the elements, uncorrected: 0.281 eV/atom
symmetry: F-43m (216)
total magnetic moment: 0.00 Bohr magnetons per cell
DFT total energy: -6.17 eV per atom



No. 29
Material: BeSi2Os
Method: DFT, PBE
State: relaxed

POSCAR file:
```
BeSi2Os
1.0
3.6120 0.0000 0.0000
0.0000 3.6703 0.0000
0.0000 0.0000 3.6703
Be Si Os
1 2 1
Direct
0.5000 0.5000 0.0000 Be
0.0000 0.0000 0.0000 Si
0.0000 0.5000 0.5000 Si
0.5000 0.0000 0.5000 Os
```

Summary:
volume: 48.7 Å³ per cell
energy relative to the elements, uncorrected: 0.150 eV/atom
symmetry: P4/mmm (123)
total magnetic moment: 0.00 Bohr magnetons per cell
DFT total energy: -6.30 eV per atom



No. 30
Material: BeSi2Os
Method: DFT, PBE
State: relaxed

POSCAR file:
```
BeSi2Os
1.0
2.7498 -0.0037 0.0000
-1.1404 2.5022 0.0000
0.0000 0.0000 7.6022
Be Si Os
1 2 1
Direct
0.0000 0.0000 0.5033 Be
0.0000 0.0000 0.9922 Si
0.5000 0.5000 0.2674 Si
0.5000 0.5000 0.7370 Os
```

Summary:
volume: 52.3 Å³ per cell
energy relative to the elements, uncorrected: 0.337 eV/atom
symmetry: Cmm2 (35)
total magnetic moment: 0.00 Bohr magnetons per cell
DFT total energy: -6.11 eV per atom